A plane-wave DFT calculation with GGA-PBE was carried out for crystalline LiY2TcB at its relaxed geometry.

Cell and atoms, written as POSCAR:
```
LiY2TcB
1.0
5.1481 0.0000 0.0000
0.0000 5.1481 0.0000
0.0000 0.0000 4.0185
Li Y Tc B
1 2 1 1
Direct
0.0000 0.0000 0.0000
0.0000 0.5000 0.5000
0.5000 0.0000 0.5000
0.5000 0.5000 0.0000
0.5000 0.5000 0.5000
```

Output
Energy relative to the elements (eV per atom): -0.01

A plane-wave DFT calculation with GGA-PBE was carried out for crystalline Pm8Pr5Th at its relaxed geometry.

Cell and atoms, written as POSCAR:
```
Pm8Pr5Th
1.0
-4.9411 4.9411 5.1167
4.9411 -4.9411 5.1167
4.9411 4.9411 -5.1167
Pm Pr Th
8 5 1
Direct
0.1636 0.4344 0.0957
0.3387 0.0679 0.9043
0.4186 0.1576 0.3975
0.5656 0.6613 0.7292
0.7601 0.0212 0.6025
0.8424 0.2399 0.2610
0.9321 0.8364 0.2708
0.9788 0.5814 0.7390
0.0000 0.0000 0.0000
0.2076 0.3093 0.6813
0.4737 0.7924 0.1017
0.6280 0.5263 0.3187
0.6907 0.3720 0.8983
0.2500 0.7500 0.5000
```

Output
Energy relative to the elements (eV per atom): 0.26

A plane-wave DFT calculation with GGA-PBE was carried out for crystalline LaAg6Cl12 at its relaxed geometry.

Cell and atoms, written as POSCAR:
```
LaAg6Cl12
1.0
5.4224 3.1306 6.3455
-5.4224 3.1306 6.3455
0.0000 -6.2612 6.3455
La Ag Cl
1 6 12
Direct
0.0000 0.0000 0.0000
0.1126 0.5966 0.2971
0.2971 0.1126 0.5966
0.4034 0.7029 0.8874
0.5966 0.2971 0.1126
0.7029 0.8874 0.4034
0.8874 0.4034 0.7029
0.0083 0.0709 0.6736
0.0709 0.6736 0.0083
0.1772 0.4086 0.5539
0.3264 0.9917 0.9291
0.4086 0.5539 0.1772
0.4461 0.8228 0.5914
0.5539 0.1772 0.4086
0.5914 0.4461 0.8228
0.6736 0.0083 0.0709
0.8228 0.5914 0.4461
0.9291 0.3264 0.9917
0.9917 0.9291 0.3264
```

Output
Uncorrected formation energy (eV per atom): -0.79

A plane-wave DFT calculation with GGA-PBE was carried out for crystalline KCuSnTe2 at its relaxed geometry.

Cell and atoms, written as POSCAR:
```
KCuSnTe2
1.0
8.5194 0.0000 0.0000
0.0000 5.1554 0.0000
-2.9581 0.0000 7.9644
K Cu Sn Te
2 2 2 4
Direct
0.0000 0.2221 0.2500
0.0000 0.7779 0.7500
0.5000 0.0000 0.0000
0.5000 0.0000 0.5000
0.5000 0.3537 0.7500
0.5000 0.6463 0.2500
0.2646 0.2798 0.0043
0.2646 0.7202 0.5043
0.7354 0.2798 0.4957
0.7354 0.7202 0.9957
```

Output
Uncorrected formation energy (eV per atom): -0.43

| no. | volume (A^3/atom) |
| --- | --- |
| 1 | 21.3 |
| 2 | 35.7 |
| 3 | 34.0 |
| 4 | 35.0 |